A relaxed structure of BaMoSe2, computed with PBE.

Lattice parameters (Å, degrees): 5.1905 5.1905 4.3881 90.00 90.00 90.00
Last column: nearest neighbours and their distance in Å.
Element x y z (fractional)
Ba: 0.0000 0.0000 0.0000  8 Se 3.38-3.42
Mo: 0.5000 0.5000 0.6072  4 Se 2.64
Se: 0.0000 0.5000 0.4936  2 Mo 2.64
Se: 0.5000 0.0000 0.4936  2 Mo 2.64

Summary:
Electronic total energy = -0.4091 Ry/atom
Total moment = 3.99 μB/f.u.
Relative energy among the computed polymorphs = 125 meV/atom
Formation energy (no corrections) = -635 meV/atom
Crystal system = tetragonal